This record from the Open Quantum Materials Database describes a relaxed InB4Os crystal. The functional is PBE.

Lattice parameters (Å, degrees): 2.9656 2.9656 8.9351 90.00 90.00 120.00
Element x y z (fractional)
In  0.0000  0.0000  0.0000
B  0.3333  0.6667  0.3076
B  0.3333  0.6667  0.6924
B  0.6667  0.3333  0.3076
B  0.6667  0.3333  0.6924
Os  0.0000  0.0000  0.5000

Properties
- Calculated volume: 68.1 Å³ per cell
- Total magnetization: 0.25 μB/cell
- E_tot: -6.32 eV/atom

This record from the Open Quantum Materials Database describes a relaxed InB4Os crystal. The functional is PBE.

Lattice parameters (Å, degrees): 4.7708 4.7708 4.7708 142.64 112.54 79.74
Element x y z (fractional)
In  0.0000  0.0000  0.0000
B  0.0845  0.7497  0.3348
B  0.4148  0.7497  0.6652
B  0.5852  0.2503  0.3348
B  0.9155  0.2503  0.6652
Os  0.5000  0.5000  0.0000

Properties
- Calculated volume: 59.3 Å³ per cell
- Total magnetization: 0.05 μB/cell
- E_tot: -6.18 eV/atom

This record from the Open Quantum Materials Database describes a relaxed PaInB crystal. The functional is PBE.

Lattice parameters (Å, degrees): 4.6008 4.6008 4.6008 60.00 60.00 60.00
Element x y z (fractional)
Pa  0.0000  0.0000  0.0000
In  0.7500  0.7500  0.7500
B  0.5000  0.5000  0.5000

Properties
- Calculated volume: 68.9 Å³ per cell
- Total magnetization: 0.64 μB/cell
- E_tot: -4.85 eV/atom

This record from the Open Quantum Materials Database describes a relaxed PaInB crystal. The functional is PBE.

Lattice parameters (Å, degrees): 4.7487 4.7487 4.7487 60.00 60.00 60.00
Element x y z (fractional)
Pa  0.0000  0.0000  0.0000
In  0.2500  0.2500  0.2500
B  0.7500  0.7500  0.7500

Properties
- Calculated volume: 75.7 Å³ per cell
- Total magnetization: 0.48 μB/cell
- E_tot: -5.11 eV/atom

This record from the Open Quantum Materials Database describes a relaxed PaInB crystal. The functional is PBE.

Lattice parameters (Å, degrees): 4.3851 4.3851 4.3851 60.00 60.00 60.00
Element x y z (fractional)
Pa  0.0000  0.0000  0.0000
In  0.5000  0.5000  0.5000
B  0.7500  0.7500  0.7500

Properties
- Calculated volume: 59.6 Å³ per cell
- Total magnetization: 0.03 μB/cell
- E_tot: -5.93 eV/atom

This record from the Open Quantum Materials Database describes a relaxed Tm4InB2Pb crystal. The functional is PBE.

Lattice parameters (Å, degrees): 3.6024 3.6024 16.6105 90.00 90.00 120.00
Element x y z (fractional)
Tm  0.0000  0.0000  0.1591
Tm  0.0000  0.0000  0.8409
Tm  0.6667  0.3333  0.3397
Tm  0.6667  0.3333  0.6603
In  0.6667  0.3333  0.0000
B  0.3333  0.6667  0.2507
B  0.3333  0.6667  0.7493
Pb  0.0000  0.0000  0.5000

Properties
- Calculated volume: 186.7 Å³ per cell
- Total magnetization: 0.02 μB/cell
- E_tot: -4.90 eV/atom